Record 1
Compound: K2PaTe2O2
Source: Alexandria
Functional: PBE
Structure: relaxed

Properties
For the formation energy (no corrections), the calculation gives -1.77 eV/atom. The total DFT energy (no corrections) is -5.7555 eV per atom.

abc: 4.4679 4.4679 9.4449
angles: 103.68 103.68 90.00
Element x y z (fractional)
K: 0.3795 0.3796 0.7591
K: 0.6205 0.6204 0.2409
Pa: 0.0000 0.0000 0.0000
Te: 0.1752 0.1752 0.3503
Te: 0.8248 0.8248 0.6497
O: 0.0000 0.5000 0.0000
O: 0.5000 0.0000 0.0000

=====

Record 2
Compound: Mg2TiAg2
Source: Alexandria
Functional: PBE
Structure: relaxed

Properties
The value obtained for the energy of formation from the pure elements is 0.2 eV per formula unit. As for the energy above the most stable polymorph in this dataset: 0.000 eV per formula unit. The total DFT energy (no corrections) is -3.3134 eV per atom.

abc: 7.7919 7.7919 3.1621
angles: 90.00 90.00 90.00
Last column: magnetic moment on the atom in μB.
Element x y z (fractional)
Mg: 0.1635 0.6635 0.5000  0.00
Mg: 0.6635 0.8365 0.5000  0.00
Mg: 0.8365 0.3365 0.5000  0.00
Mg: 0.3365 0.1635 0.5000  0.00
Ag: 0.3644 0.8644 0.0000  0.02
Ag: 0.8644 0.6356 0.0000  0.02
Ag: 0.6356 0.1356 0.0000  0.02
Ag: 0.1356 0.3644 0.0000  0.02
Ti: 0.0000 0.0000 0.0000  1.40
Ti: 0.5000 0.5000 0.0000  1.40

=====

Record 3
Compound: BaZnCdCl6
Source: Alexandria
Functional: PBE
Structure: relaxed

Properties
For the formation energy (no corrections), the calculation gives -1.54 eV/atom. The total DFT energy (no corrections) is -3.2310 eV per atom.

abc: 6.7097 6.7096 6.6893
angles: 90.01 89.99 59.98
Element x y z (fractional)
Ba: 0.0000 0.0000 0.0000
Zn: 0.3333 0.3334 0.5000
Cd: 0.6666 0.6666 0.5000
Cl: 0.0178 0.3619 0.2814
Cl: 0.3619 0.0179 0.7186
Cl: 0.6203 0.3620 0.7185
Cl: 0.0176 0.6204 0.7185
Cl: 0.3619 0.6203 0.2815
Cl: 0.6203 0.0177 0.2815

=====

Record 4
Compound: PmPrPtCl
Source: Alexandria
Functional: PBE
Structure: relaxed

Properties
For the formation energy (no corrections), the calculation gives -1.24 eV/atom. The total DFT energy (no corrections) is -5.5946 eV per atom.

abc: 3.9630 3.9623 8.4276
angles: 90.00 103.59 119.91
Element x y z (fractional)
Pm: 0.9885 0.3922 0.3951
Pr: 0.2860 0.5412 0.8426
Pt: 0.4686 0.1320 0.6157
Cl: 0.1348 0.9654 0.1162

=====

Record 5
Compound: AcPu2NiN4
Source: Alexandria
Functional: PBE
Structure: relaxed

Properties
For the formation energy (no corrections), the calculation gives -1.04 eV/atom. The total DFT energy (no corrections) is -10.0230 eV per atom.

abc: 3.5191 6.0216 11.5088
angles: 90.00 90.00 106.99
Last column: magnetic moment on the atom in μB.
Element x y z (fractional)
Ac: 0.0997 0.1995 0.7500  0.02
Ac: 0.9003 0.8005 0.2500  0.02
Pu: 0.3683 0.7366 0.5567  4.16
Pu: 0.6317 0.2634 0.0567  4.16
Pu: 0.6317 0.2634 0.4433  4.16
Pu: 0.3683 0.7366 0.9433  4.16
Ni: 0.8319 0.6638 0.7500  -0.61
Ni: 0.1681 0.3362 0.2500  -0.61
N: 0.2590 0.5180 0.1065  -0.20
N: 0.7410 0.4820 0.6065  -0.20
N: 0.7410 0.4820 0.8935  -0.20
N: 0.2590 0.5180 0.3935  -0.20
N: 0.0000 0.0000 0.5000  -0.24
N: 0.0000 0.0000 0.0000  -0.24
N: 0.4278 0.8557 0.7500  -0.19
N: 0.5722 0.1443 0.2500  -0.19

=====

Record 6
Compound: ErTmCBr
Source: Alexandria
Functional: PBE
Structure: relaxed

Properties
For the formation energy (no corrections), the calculation gives -0.95 eV/atom. The total DFT energy (no corrections) is -5.9310 eV per atom.

abc: 3.6358 3.6358 7.3327
angles: 90.00 104.35 120.00
Element x y z (fractional)
Er: 0.5167 0.1563 0.6883
Tm: 0.0872 0.9415 0.0440
C: 0.3076 0.5517 0.8747
Br: 0.9664 0.3813 0.3626

=====

Record 7
Compound: TaIn2Cl
Source: Alexandria
Functional: PBE
Structure: relaxed

Properties
For the formation energy (no corrections), the calculation gives -0.23 eV/atom. As for the energy above the most stable polymorph in this dataset: 0.000 eV per formula unit. The total DFT energy (no corrections) is -5.0213 eV per atom.

abc: 11.1568 11.1568 11.1568
angles: 16.37 16.37 16.37
Element x y z (fractional)
Cl: 0.7786 0.7786 0.7786
In: 0.9860 0.9860 0.9860
In: 0.2378 0.2378 0.2378
Ta: 0.4975 0.4975 0.4975

=====

Record 8
Compound: Rb2Na2Au
Source: Alexandria
Functional: PBE
Structure: relaxed

Properties
The value obtained for the energy of formation from the pure elements is -0.2 eV per formula unit. As for the energy above the most stable polymorph in this dataset: 0.255 eV per formula unit. The total DFT energy (no corrections) is -1.6138 eV per atom.

abc: 8.1950 8.1950 6.3389
angles: 90.00 90.00 90.00
Element x y z (fractional)
Na: 0.3470 0.8470 0.0000
Na: 0.8470 0.6530 0.0000
Na: 0.6530 0.1530 0.0000
Na: 0.1530 0.3470 0.0000
Au: 0.0000 0.0000 0.0000
Au: 0.5000 0.5000 0.0000
Rb: 0.1907 0.6907 0.5000
Rb: 0.6907 0.8093 0.5000
Rb: 0.8093 0.3093 0.5000
Rb: 0.3093 0.1907 0.5000

=====

Record 9
Compound: ZnNi3Te
Source: Alexandria
Functional: PBE
Structure: relaxed

Properties
For the formation energy (no corrections), the calculation gives 0.75 eV/atom. As for the energy above the most stable polymorph in this dataset: 0.576 eV per formula unit. The total DFT energy (no corrections) is -3.6036 eV per atom.

abc: 4.6325 4.6325 4.6325
angles: 90.00 90.00 90.00
Element x y z (fractional)
Ni: 0.0000 0.5000 0.0000
Ni: 0.0000 0.0000 0.5000
Ni: 0.5000 0.0000 0.0000
Zn: 0.5000 0.5000 0.5000
Te: 0.0000 0.0000 0.0000

=====

Record 10
Compound: Pu2CuAs
Source: Alexandria
Functional: PBE
Structure: relaxed

Properties
The value obtained for the energy of formation from the pure elements is -1.6 eV per formula unit. The total DFT energy (no corrections) is -9.7488 eV per atom.

abc: 4.9681 4.9681 4.9681
angles: 60.00 60.00 60.00
Last column: magnetic moment on the atom in μB.
Element x y z (fractional)
As: 0.5000 0.5000 0.5000  -0.09
Cu: 0.0000 0.0000 0.0000  0.06
Pu: 0.2500 0.2500 0.2500  5.54
Pu: 0.7500 0.7500 0.7500  5.54

=====

Record 11
Compound: AcCu6As4
Source: Alexandria
Functional: PBE
Structure: relaxed

Properties
The value obtained for the energy of formation from the pure elements is -2.9 eV per formula unit. The total DFT energy (no corrections) is -4.5606 eV per atom.

abc: 4.1012 4.1012 11.8923
angles: 99.93 99.93 90.00
Element x y z (fractional)
Ac: 0.0000 0.0000 0.0000
Cu: 0.7500 0.2500 0.5000
Cu: 0.8724 0.3724 0.7448
Cu: 0.1276 0.6276 0.2552
Cu: 0.6276 0.1276 0.2552
Cu: 0.3724 0.8724 0.7448
Cu: 0.2500 0.7500 0.5000
As: 0.4320 0.4320 0.8640
As: 0.1895 0.1895 0.3790
As: 0.8105 0.8105 0.6210
As: 0.5680 0.5680 0.1360

=====

Please write out number 6 again, unchanged.
Compound: ErTmCBr
Source: Alexandria
Functional: PBE
Structure: relaxed

Properties
For the formation energy (no corrections), the calculation gives -0.95 eV/atom. The total DFT energy (no corrections) is -5.9310 eV per atom.

abc: 3.6358 3.6358 7.3327
angles: 90.00 104.35 120.00
Element x y z (fractional)
Er: 0.5167 0.1563 0.6883
Tm: 0.0872 0.9415 0.0440
C: 0.3076 0.5517 0.8747
Br: 0.9664 0.3813 0.3626

=====

Which formula does entry 11 have? AcCu6As4

=====

Look up the total DFT energy (no corrections) of the first one. -5.7555 eV per atom

=====

Copy entry 4 word for word.
Compound: PmPrPtCl
Source: Alexandria
Functional: PBE
Structure: relaxed

Properties
For the formation energy (no corrections), the calculation gives -1.24 eV/atom. The total DFT energy (no corrections) is -5.5946 eV per atom.

abc: 3.9630 3.9623 8.4276
angles: 90.00 103.59 119.91
Element x y z (fractional)
Pm: 0.9885 0.3922 0.3951
Pr: 0.2860 0.5412 0.8426
Pt: 0.4686 0.1320 0.6157
Cl: 0.1348 0.9654 0.1162